No. 1
A plane-wave DFT calculation with PBE was carried out for a relaxed structure of DyInGa.

Lattice parameters (Å, degrees): 3.4778 4.7493 9.0378 90.00 101.09 90.00
Closest atoms and distances in Å follow each position.
Sites, in units of the cell vectors:
1 Dy 0.6390 0.8470 0.2780  5 Ga 2.89-3.12
2 Dy 0.3610 0.3470 0.7220  5 Ga 2.89-3.12
3 In 0.9563 0.8469 0.9127  1 Ga 2.73, 2 In 2.84
4 In 0.0437 0.3469 0.0873  1 Ga 2.73, 2 In 2.84
5 Ga 0.8022 0.8471 0.6044  1 In 2.73, 1 Dy 2.89
6 Ga 0.1978 0.3471 0.3956  1 In 2.73, 1 Dy 2.89

Summary:
Space group ... Cmcm, No. 63
Energy ... -3.757 eV/atom

---

No. 2
A plane-wave DFT calculation with PBE was carried out for a relaxed structure of DyInGa.

Lattice parameters (Å, degrees): 3.6050 4.3204 9.3340 90.00 101.13 90.00
Closest atoms and distances in Å follow each position.
Sites, in units of the cell vectors:
1 Dy 0.3993 0.2500 0.7985  6 Ga 3.03-3.14
2 Dy 0.6007 0.7500 0.2015  6 Ga 3.03-3.14
3 Ga 0.9601 0.7500 0.9202  2 Ga 2.61
4 Ga 0.0399 0.2500 0.0798  2 Ga 2.61
5 In 0.7882 0.7500 0.5763  4 In 3.14, 1 Ga 3.15, 5 Dy 3.43-3.47
6 In 0.2118 0.2500 0.4237  4 In 3.14, 1 Ga 3.15, 5 Dy 3.43-3.47

Summary:
Space group ... Cmcm, No. 63
Energy ... -3.886 eV/atom

---

No. 3
A plane-wave DFT calculation with PBE was carried out for a relaxed structure of DyInGa.

Lattice parameters (Å, degrees): 3.5495 4.7237 4.7237 120.00 90.00 90.00
Closest atoms and distances in Å follow each position.
Sites, in units of the cell vectors:
1 Dy 0.6761 0.6667 0.3333  6 Ga 3.17-3.34, 6 In 3.22-3.29, 2 Dy 3.55
2 In 0.1928 0.3333 0.6667  3 Ga 2.74
3 Ga 0.1311 0.0000 0.0000  3 In 2.74

Summary:
Space group ... P3m1, No. 156
Energy ... -3.925 eV/atom

---

No. 4
A plane-wave DFT calculation with PBE was carried out for a relaxed structure of Dy8InGa2.

Lattice parameters (Å, degrees): 4.9437 7.9760 8.6697 112.24 106.57 90.00
Closest atoms and distances in Å follow each position.
Sites, in units of the cell vectors:
1 Ga 0.7844 0.3490 0.5687  7 Dy 2.94-3.11
2 Ga 0.2156 0.6510 0.4313  7 Dy 2.94-3.11
3 Dy 0.8383 0.7649 0.6765  3 Ga 3.08-3.10, 4 Dy 3.42-3.44
4 Dy 0.0520 0.7318 0.1040  1 Ga 3.03, 2 Dy 3.29
5 Dy 0.6806 0.9526 0.3612  1 Ga 2.94, 1 In 3.17, 4 Dy 3.26-3.29
6 Dy 0.6033 0.4613 0.2065  3 Ga 3.11-3.46, 1 In 3.39, 4 Dy 3.42-3.46
7 Dy 0.1617 0.2351 0.3235  3 Ga 3.08-3.10, 4 Dy 3.42-3.44
8 Dy 0.9480 0.2682 0.8960  1 Ga 3.03, 2 Dy 3.29
9 Dy 0.3194 0.0474 0.6388  1 Ga 2.94, 1 In 3.17, 4 Dy 3.26-3.29
10 Dy 0.3967 0.5387 0.7935  3 Ga 3.11-3.46, 1 In 3.39, 4 Dy 3.42-3.46
11 In 0.5000 0.0000 0.0000  4 Dy 3.17-3.39

Summary:
Space group ... C2/m, No. 12
Energy ... -4.434 eV/atom

---

No. 5
A plane-wave DFT calculation with PBE was carried out for a relaxed structure of Dy3InGa2.

Lattice parameters (Å, degrees): 3.5856 3.5856 11.2226 90.00 90.00 90.00
Closest atoms and distances in Å follow each position.
Sites, in units of the cell vectors:
1 Ga 0.5000 0.5000 0.1598  8 Dy 3.10-3.11
2 Ga 0.5000 0.5000 0.8402  8 Dy 3.10-3.11
3 In 0.5000 0.5000 0.5000  8 Dy 3.25, 4 In 3.59
4 Dy 0.0000 0.0000 0.0000  8 Ga 3.11
5 Dy 0.0000 0.0000 0.3185  4 Ga 3.10, 4 In 3.25
6 Dy 0.0000 0.0000 0.6815  4 Ga 3.10, 4 In 3.25

Summary:
Space group ... P4/mmm, No. 123
Energy ... -4.307 eV/atom

---

No. 6
A plane-wave DFT calculation with PBE was carried out for a relaxed structure of DyIn2Ga.

Lattice parameters (Å, degrees): 5.1572 5.1572 5.2751 60.74 60.74 60.00
Closest atoms and distances in Å follow each position.
Sites, in units of the cell vectors:
1 Dy 0.5000 0.5000 0.5000  8 In 3.18-3.23
2 In 0.7470 0.7470 0.7589  4 Ga 3.16-3.30, 4 Dy 3.18-3.23
3 In 0.2530 0.2530 0.2411  4 Ga 3.16-3.30, 4 Dy 3.18-3.23
4 Ga 0.0000 0.0000 0.0000  8 In 3.16-3.30

Summary:
Space group ... R-3m, No. 166
Energy ... -3.396 eV/atom

---

> Number 2 is which compound?

DyInGa